Entry A
# Ba6MgIn2 (GGA-PBE, relaxed)
# Total moment in μB/f.u.: 1.377
# DOS(E_F) in states/eV/atom: 1.626
# Crystal system: orthorhombic
# Volume in Å³/cell: 1771.9
data_Ba6MgIn2
_chemical_formula_sum 'Ba24 Mg4 In8'
_symmetry_space_group_name_H-M 'I m m m'
_symmetry_Int_Tables_number 71
_symmetry_space_group_name_Hall '-I 2 2'
_cell_length_a 11.587
_cell_length_b 11.851
_cell_length_c 12.903
_cell_angle_alpha 90.00
_cell_angle_beta 90.00
_cell_angle_gamma 90.00
loop_
_atom_site_label
_atom_site_fract_x
_atom_site_fract_y
_atom_site_fract_z
_atom_site_occupancy
Ba1 0.000 0.187 0.167 1
Ba2 0.180 0.224 0.500 1
Ba3 0.194 0.500 0.253 1
Mg1 0.000 0.500 0.000 1
Mg2 0.000 0.500 0.500 1
In1 0.000 0.000 0.384 1
In2 0.165 0.000 0.000 1

Entry B
# Ba6MgIn2 (GGA-PBE, relaxed)
# Total moment in μB/f.u.: 0.001
# DOS(E_F) in states/eV/atom: 1.255
# Crystal system: monoclinic
# Volume in Å³/cell: 866.5
data_Ba6MgIn2
_chemical_formula_sum 'Ba12 Mg2 In4'
_symmetry_space_group_name_H-M 'P 1 21/c 1'
_symmetry_Int_Tables_number 14
_cell_length_a 9.372
_cell_length_b 10.856
_cell_length_c 9.138
_cell_angle_alpha 90.00
_cell_angle_beta 111.25
_cell_angle_gamma 90.00
loop_
_symmetry_equiv_pos_as_xyz
'x,y,z'
'-x,-y,-z'
'-x,y+1/2,-z+1/2'
'x,-y+1/2,z+1/2'
loop_
_atom_site_label
_atom_site_fract_x
_atom_site_fract_y
_atom_site_fract_z
_atom_site_occupancy
Ba1 0.047 0.001 0.307 1
Ba2 0.304 0.191 0.061 1
Ba3 0.304 0.692 0.561 1
Mg1 0.500 0.000 0.500 1
In1 0.344 0.001 0.728 1

What should be chosen as the most stable of them? Choose entry B.

Entry A
# Ba2Mg5In3 (GGA-PBE, relaxed)
# Total moment in μB/f.u.: 0.000
# DOS(E_F) in states/eV/atom: 0.709
# Crystal system: tetragonal
# Volume in Å³/cell: 309.5
data_Ba2Mg5In3
_chemical_formula_sum 'Ba2 Mg5 In3'
_symmetry_space_group_name_H-M 'P -4 m 2'
_symmetry_Int_Tables_number 115
_cell_length_a 4.873
_cell_length_b 4.873
_cell_length_c 13.034
_cell_angle_alpha 90.00
_cell_angle_beta 90.00
_cell_angle_gamma 90.00
loop_
_symmetry_equiv_pos_as_xyz
'x,y,z'
'y,-x,-z'
'-x,-y,z'
'-y,x,-z'
'-x,y,z'
'-y,-x,-z'
'x,-y,z'
'y,x,-z'
loop_
_atom_site_label
_atom_site_fract_x
_atom_site_fract_y
_atom_site_fract_z
_atom_site_occupancy
Ba1 0.000 0.500 0.236 1
Mg1 0.000 0.000 0.500 1
Mg2 0.000 0.500 0.643 1
Mg3 0.500 0.500 0.000 1
Mg4 0.500 0.500 0.500 1
In1 0.000 0.000 0.000 1
In2 0.000 0.500 0.866 1

Entry B
# Ba2Mg5In3 (GGA-PBE, relaxed)
# Total moment in μB/f.u.: 0.000
# DOS(E_F) in states/eV/atom: 0.757
# Crystal system: orthorhombic
# Volume in Å³/cell: 1221.2
data_Ba2Mg5In3
_chemical_formula_sum 'Ba8 Mg20 In12'
_symmetry_space_group_name_H-M 'I b a m'
_symmetry_Int_Tables_number 72
_symmetry_space_group_name_Hall '-I 2 2c'
_cell_length_a 12.652
_cell_length_b 13.770
_cell_length_c 7.010
_cell_angle_alpha 90.00
_cell_angle_beta 90.00
_cell_angle_gamma 90.00
loop_
_atom_site_label
_atom_site_fract_x
_atom_site_fract_y
_atom_site_fract_z
_atom_site_occupancy
Ba1 0.249 0.123 0.000 1
Mg1 0.000 0.000 0.250 1
Mg2 0.000 0.250 0.250 1
Mg3 0.136 0.381 0.000 1
In1 0.000 0.500 0.250 1
In2 0.134 0.129 0.500 1

What should be chosen as the most stable of them? Choose entry B.